A | First-principles (PBEsol) data for TlSiSe after structural relaxation, as listed in Alexandria via LeMat-Bulk.

Geometry as POSCAR:
```
TlSiSe
1.0
4.835 0.000 0.000
2.417 4.187 0.000
2.417 1.396 3.948
Tl Si Se
1 1 1
Direct
0.500 0.500 0.500
0.000 0.000 0.000
0.250 0.250 0.250
```

B | First-principles (PBEsol) data for TlSiSe after structural relaxation, as listed in Alexandria via LeMat-Bulk.

Geometry as POSCAR:
```
TlSiSe
1.0
-4.025 2.584 -0.225
-3.907 -1.829 -2.079
-3.783 -1.223 2.670
Tl Si Se
1 1 1
Direct
0.250 0.250 0.250
0.500 0.500 0.500
0.000 0.000 0.000
```

What should be chosen as the least stable of them? Choose B.

A | First-principles (PBEsol) data for SiSb2Br after structural relaxation, as listed in Alexandria via LeMat-Bulk.

Geometry as POSCAR:
```
SiSb2Br
1.0
5.071 0.000 0.000
2.536 4.392 0.000
2.536 1.464 4.140
Sb Si Br
2 1 1
Direct
0.000 0.000 0.000
0.750 0.750 0.750
0.250 0.250 0.250
0.500 0.500 0.500
```

B | First-principles (PBEsol) data for SiSb2Br after structural relaxation, as listed in Alexandria via LeMat-Bulk.

Geometry as POSCAR:
```
SiSb2Br
1.0
-0.786 3.166 -2.160
0.500 -2.075 -3.228
-7.082 -1.211 2.040
Sb Si Br
2 1 1
Direct
0.944 0.003 0.001
0.784 0.325 0.650
0.403 0.467 0.931
0.368 0.705 0.418
```

What should be chosen as the least stable of them? Choose A.

A | First-principles (PBEsol) data for Rb after structural relaxation, as listed in Alexandria via LeMat-Bulk.

Geometry as POSCAR:
```
Rb
1.0
-3.271 10.229 -5.336
-8.794 1.380 8.036
7.468 6.105 7.125
Rb
20
Direct
0.875 0.703 0.047
0.062 0.062 0.062
0.203 0.453 0.125
0.812 0.312 0.188
0.453 0.125 0.203
0.547 0.625 0.297
0.188 0.812 0.312
0.797 0.953 0.375
0.938 0.562 0.438
0.125 0.203 0.453
0.625 0.297 0.547
0.438 0.938 0.562
0.297 0.547 0.625
0.688 0.688 0.688
0.047 0.875 0.703
0.953 0.375 0.797
0.312 0.188 0.812
0.703 0.047 0.875
0.562 0.438 0.938
0.375 0.797 0.953
```

B | First-principles (PBEsol) data for Rb after structural relaxation, as listed in Alexandria via LeMat-Bulk.

Geometry as POSCAR:
```
Rb
1.0
-0.758 3.917 -2.301
1.864 -1.859 -3.779
-8.039 -3.836 0.728
Rb
2
Direct
0.000 0.000 0.000
0.250 0.750 0.500
```

What should be chosen as the least stable of them? Choose B.